Entry 1:
DFT (GGA-PBEsol) results for a relaxed YIrW2 crystal.

Lattice parameters (Å, degrees): 2.8133 4.5728 5.3971 90.00 90.00 90.00
Fractional coordinates of all 4 atoms:
Ir  0.5000  0.5000  0.5000
W  0.0000  0.0000  0.2598
Y  0.5000  0.5000  0.0000
W  0.0000  0.0000  0.7402

Results
E_tot = -0.389 Ha/atom
Symmetry = Pmmm (47)
Density = 15.52 g cm⁻³
ΔE to the lowest computed polymorph = 110 kJ/mol of formula units
DFT formation energy = 486 meV per atom

***

Entry 2:
DFT (GGA-PBEsol) results for a relaxed SnTe2RhN crystal.

Lattice parameters (Å, degrees): 3.6372 5.4985 5.4985 90.00 90.00 90.00
Fractional coordinates of all 5 atoms:
Sn  0.5000  0.5000  0.5000
Te  0.0000  0.5000  0.0000
Rh  0.0000  0.0000  0.0000
Te  0.0000  0.0000  0.5000
N  0.5000  0.0000  0.0000

Results
E_tot = -0.200 Ha/atom
Symmetry = P4/mmm (123)
Formation energy from raw total energies = 163 meV per atom
Density = 7.41 g cm⁻³

***

Entry 3:
DFT (GGA-PBEsol) results for a relaxed YZrPt2 crystal.

Lattice parameters (Å, degrees): 3.5031 4.3722 5.4656 90.00 108.69 90.00
Fractional coordinates of all 4 atoms:
Pt  0.0366  0.0000  0.0733
Y  0.4828  0.5000  0.9656
Pt  0.2161  0.5000  0.4321
Zr  0.7645  0.0000  0.5290

Results
E_tot = -0.315 Ha/atom
Symmetry = Amm2 (38)
Density = 11.94 g cm⁻³
DFT formation energy = -1112 meV per atom

***

Entry 4:
DFT (GGA-PBEsol) results for a relaxed SrZr3Sc crystal.

Lattice parameters (Å, degrees): 5.2059 5.2059 5.2059 90.00 90.00 90.00
Fractional coordinates of all 5 atoms:
Zr  0.0000  0.5000  0.0000
Zr  0.0000  0.0000  0.5000
Zr  0.5000  0.0000  0.0000
Sr  0.5000  0.5000  0.5000
Sc  0.0000  0.0000  0.0000

Results
E_tot = -0.228 Ha/atom
Symmetry = Pm-3m (221)
Density = 4.78 g cm⁻³
DFT formation energy = 943 meV per atom

***

Entry 5:
DFT (GGA-PBEsol) results for a relaxed Hf2TiNCl crystal.

Lattice parameters (Å, degrees): 3.7705 5.0351 5.0351 90.00 90.00 90.00
Fractional coordinates of all 5 atoms:
Cl  0.5000  0.5000  0.5000
Ti  0.0000  0.0000  0.0000
N  0.5000  0.0000  0.0000
Hf  0.0000  0.0000  0.5000
Hf  0.0000  0.5000  0.0000

Results
E_tot = -0.271 Ha/atom
Symmetry = P4/mmm (123)
Formation energy from raw total energies = 585 meV per atom
Density = 7.89 g cm⁻³

***

Entry 6:
DFT (GGA-PBEsol) results for a relaxed KHgPt2 crystal.

Lattice parameters (Å, degrees): 4.1793 4.1793 4.2423 90.00 90.00 90.00
Fractional coordinates of all 4 atoms:
Pt  0.5000  0.0000  0.0000
Hg  0.5000  0.5000  0.5000
Pt  0.0000  0.5000  0.0000
K  0.0000  0.0000  0.5000

Results
E_tot = -0.133 Ha/atom
Symmetry = P4/mmm (123)
Density = 14.12 g cm⁻³
DFT formation energy = 290 meV per atom

***

Entry 7:
DFT (GGA-PBEsol) results for a relaxed GaReNCl2 crystal.

Lattice parameters (Å, degrees): 4.5333 4.5333 5.1472 90.00 90.00 90.00
Fractional coordinates of all 5 atoms:
N  0.5000  0.5000  0.5000
Cl  0.0000  0.5000  0.0000
Re  0.0000  0.0000  0.0000
Cl  0.5000  0.0000  0.0000
Ga  0.0000  0.0000  0.5000

Results
E_tot = -0.171 Ha/atom
Symmetry = P4/mmm (123)
Formation energy from raw total energies = 1203 meV per atom
Density = 5.35 g cm⁻³

***

Entry 8:
DFT (GGA-PBEsol) results for a relaxed NiTePdCl2 crystal.

Lattice parameters (Å, degrees): 4.2836 4.2836 5.4602 90.00 90.00 90.00
Fractional coordinates of all 5 atoms:
Cl  0.5000  0.0000  0.0000
Ni  0.0000  0.0000  0.0000
Pd  0.5000  0.5000  0.5000
Cl  0.0000  0.5000  0.0000
Te  0.0000  0.0000  0.5000

Results
E_tot = -0.141 Ha/atom
Symmetry = P4/mmm (123)
Formation energy from raw total energies = 86 meV per atom
Density = 6.03 g cm⁻³